Entry 1:
Material: SnGe2Cl6
Method: DFT, PBE-GGA
State: optimized geometry

Unit cell a=6.983 b=10.050 c=10.050 alpha=68.35 beta=88.55 gamma=88.55
Atoms (fractional coordinates):
Sn  0.250  0.099  0.901
Sn  0.750  0.901  0.099
Ge  0.409  0.656  0.826
Ge  0.091  0.174  0.344
Ge  0.591  0.344  0.174
Ge  0.909  0.826  0.656
Cl  0.666  0.619  0.682
Cl  0.834  0.318  0.381
Cl  0.334  0.381  0.318
Cl  0.166  0.682  0.619
Cl  0.834  0.935  0.411
Cl  0.666  0.589  0.065
Cl  0.166  0.065  0.589
Cl  0.334  0.411  0.935
Cl  0.101  0.846  0.976
Cl  0.399  0.024  0.154
Cl  0.899  0.154  0.024
Cl  0.601  0.976  0.846

Computed properties:
- Energy relative to the lowest polymorph listed for this composition: 0.0 meV per atom

***

Entry 2:
Material: Sn3GeCl8
Method: DFT, PBE-GGA
State: optimized geometry

Unit cell a=5.842 b=9.530 c=10.423 alpha=113.45 beta=122.36 gamma=85.54
Atoms (fractional coordinates):
Sn  0.432  0.293  0.785
Sn  0.664  0.293  0.386
Sn  0.565  0.698  0.201
Ge  0.294  0.714  0.600
Cl  0.495  0.609  0.899
Cl  0.439  0.972  0.783
Cl  0.915  0.269  0.690
Cl  0.166  0.295  0.456
Cl  0.845  0.693  0.547
Cl  0.097  0.754  0.334
Cl  0.563  0.378  0.108
Cl  0.524  0.002  0.206

***

Entry 3:
Material: SnGe2Cl
Method: DFT, PBE-GGA
State: optimized geometry

Unit cell a=4.981 b=4.981 c=4.981 alpha=60.00 beta=60.00 gamma=60.00
Atoms (fractional coordinates):
Ge  0.250  0.250  0.250
Ge  0.750  0.750  0.750
Sn  0.500  0.500  0.500
Cl  0.000  0.000  0.000

Computed properties:
- Energy relative to the lowest polymorph listed for this composition: 0.0 meV per atom

***

Entry 4:
Material: SnGe2Cl
Method: DFT, PBE-GGA
State: optimized geometry

Unit cell a=5.768 b=5.768 c=8.420 alpha=69.97 beta=69.97 gamma=90.00
Atoms (fractional coordinates):
Ge  0.610  0.125  0.250
Ge  0.140  0.625  0.250
Ge  0.375  0.390  0.750
Ge  0.875  0.860  0.750
Sn  0.000  0.000  0.000
Sn  0.750  0.250  0.500
Cl  0.500  0.500  0.000
Cl  0.250  0.750  0.500

Computed properties:
- Energy relative to the lowest polymorph listed for this composition: 143.8 meV per atom

***

Entry 5:
Material: Sn5Ge3Cl16
Method: DFT, PBE-GGA
State: optimized geometry

Unit cell a=8.842 b=8.842 c=13.091 alpha=91.38 beta=91.38 gamma=54.92
Atoms (fractional coordinates):
Sn  0.334  0.838  0.788
Sn  0.653  0.653  0.524
Sn  0.838  0.334  0.788
Sn  0.195  0.195  0.283
Sn  0.338  0.338  0.031
Ge  0.835  0.835  0.808
Ge  0.158  0.702  0.298
Ge  0.702  0.158  0.298
Cl  0.316  0.810  0.394
Cl  0.517  0.517  0.630
Cl  0.709  0.709  0.907
Cl  0.018  0.018  0.679
Cl  0.985  0.985  0.184
Cl  0.810  0.316  0.394
Cl  0.467  0.953  0.657
Cl  0.953  0.467  0.657
Cl  0.166  0.166  0.889
Cl  0.870  0.870  0.408
Cl  0.038  0.483  0.157
Cl  0.483  0.038  0.157
Cl  0.330  0.330  0.400
Cl  0.122  0.689  0.904
Cl  0.473  0.473  0.149
Cl  0.689  0.122  0.904

***

Entry 6:
Material: SnGeCl4
Method: DFT, PBE-GGA
State: optimized geometry

Unit cell a=5.582 b=9.093 c=9.534 alpha=111.28 beta=90.00 gamma=107.87
Atoms (fractional coordinates):
Sn  0.212  0.424  0.304
Sn  0.788  0.576  0.696
Ge  0.101  0.203  0.718
Ge  0.899  0.797  0.282
Cl  0.043  0.085  0.351
Cl  0.134  0.267  0.983
Cl  0.722  0.443  0.365
Cl  0.635  0.270  0.702
Cl  0.365  0.730  0.298
Cl  0.278  0.557  0.635
Cl  0.866  0.733  0.017
Cl  0.957  0.915  0.649

Computed properties:
- Energy relative to the lowest polymorph listed for this composition: 0.0 meV per atom

***

Entry 7:
Material: TaSnGeCl2
Method: DFT, PBE-GGA
State: optimized geometry

Unit cell a=5.053 b=5.599 c=5.053 alpha=90.00 beta=90.00 gamma=90.00
Atoms (fractional coordinates):
Ge  0.000  0.500  0.000
Cl  0.000  0.000  0.500
Cl  0.500  0.000  0.000
Sn  0.000  0.000  0.000
Ta  0.500  0.500  0.500

***

Entry 8:
Material: TcSnGe2Cl
Method: DFT, PBE-GGA
State: optimized geometry

Unit cell a=4.787 b=4.787 c=5.221 alpha=90.00 beta=90.00 gamma=90.00
Atoms (fractional coordinates):
Ge  0.000  0.500  0.000
Ge  0.500  0.000  0.000
Cl  0.500  0.500  0.500
Sn  0.000  0.000  0.500
Tc  0.000  0.000  0.000

***

Across the entries above, final energy takes the values -3.560; -3.555; -3.650; -3.506; -3.552; -3.530; -3.852; -5.310 eV per atom, respectively.
Across the entries above, uncorrected formation energy takes the values -857.9; -938.5; 120.8; 264.6; -910.0; -862.3; 981.7; -219.9 meV/atom, respectively.